Entry w
Compound: Te2BrCl
Source: the Alexandria database
Functional: GGA-PBEsol
Structure: relaxed

For the size of the total moment, the calculation gives 0.00 μB per formula unit.

The structure belongs to space group Cm (No. 8); the cell edges are 7.233, 4.041 and 8.806 Å and the angles 90.00°, 104.67° and 90.00°. The asymmetric unit holds Te at (0.000, 0.000, 0.000), Te at (0.221, 0.500, 0.217), Br at (0.395, 0.000, 0.443) and Cl at (0.186, 0.000, 0.791).

***

Entry x
Compound: Te2BrCl
Source: the Alexandria database
Functional: GGA-PBEsol
Structure: relaxed

For the size of the total moment, the calculation gives 0.00 μB per formula unit.

The structure belongs to space group R3m (No. 160, hexagonal axes); the cell edges are 4.0745, 4.0745 and 25.4372 Å and the angles 90.00°, 90.00° and 120.00°. The asymmetric unit holds Te at (0.0000, 0.0000, 0.0000), Te at (0.0000, 0.0000, 0.2626), Br at (0.0000, 0.0000, 0.7427) and Cl at (0.0000, 0.0000, 0.5276).

***

Stability, descending: entry w, entry x